1.
Compound: YFeSi2
Source: the Alexandria database
Functional: GGA-PBE
Structure: optimized geometry

Calculated values
**Energy relative to the elements, uncorrected**: 2.69 kcal/mol of atoms
**Total DFT energy (no corrections)**: -6.33 eV per atom
**ρ**: 5167 kg/m3

abc: 6.368 6.368 6.368
angles: 90.00 90.00 90.00
Space group F-43m (No. 216)
Inequivalent atoms, fractional coordinates:
Y1 0.000 0.000 0.000 x4
Fe1 0.250 0.250 0.750 x4
Si1 0.000 0.000 0.500 x4
Si2 0.250 0.250 0.250 x4

=====

2.
Compound: YFe4Si4
Source: the Alexandria database
Functional: GGA-PBE
Structure: optimized geometry

Calculated values
**Energy relative to the elements, uncorrected**: -9.43 kcal/mol of atoms
**Total DFT energy (no corrections)**: -7.30 eV per atom
**ρ**: 5511 kg/m3

abc: 7.718 7.718 4.296
angles: 90.00 90.00 90.00
Space group P4_2/n (No. 86, origin choice 2)
Inequivalent atoms, fractional coordinates:
Y1 0.250 0.250 0.250 x2
Fe1 0.131 0.864 0.696 x8
Si1 0.043 0.905 0.199 x8

=====

3.
Compound: YFeSi4
Source: the Alexandria database
Functional: GGA-PBE
Structure: optimized geometry

Calculated values
**Energy relative to the elements, uncorrected**: 1.63 kcal/mol of atoms
**Total DFT energy (no corrections)**: -6.03 eV per atom
**ρ**: 4502 kg/m3

abc: 7.239 7.239 7.239
angles: 90.00 90.00 90.00
Space group F-43m (No. 216)
Inequivalent atoms, fractional coordinates:
Y1 0.000 0.000 0.000 x4
Fe1 0.250 0.250 0.750 x4
Si1 0.123 0.123 0.377 x16

=====

4.
Compound: YFeSi2
Source: the Alexandria database
Functional: GGA-PBE
Structure: optimized geometry

Calculated values
**Energy relative to the elements, uncorrected**: -16.03 kcal/mol of atoms
**Total DFT energy (no corrections)**: -7.14 eV per atom
**ρ**: 5126 kg/m3

abc: 6.776 3.940 9.752
angles: 90.00 90.00 90.00
Space group Pnma (No. 62)
Inequivalent atoms, fractional coordinates:
Y1 0.157 0.250 0.124 x4
Fe1 0.015 0.750 0.390 x4
Si1 0.155 0.250 0.813 x4
Si2 0.182 0.250 0.424 x4

=====

5.
Compound: YFeSi
Source: the Alexandria database
Functional: GGA-PBE
Structure: optimized geometry

Calculated values
**Energy relative to the elements, uncorrected**: -6.19 kcal/mol of atoms
**Total DFT energy (no corrections)**: -7.05 eV per atom
**ρ**: 5719 kg/m3

abc: 3.129 3.129 10.251
angles: 90.00 90.00 90.00
Space group I4mm (No. 107)
Inequivalent atoms, fractional coordinates:
Y1 0.000 0.000 0.000 x2
Fe1 0.000 0.000 0.698 x2
Si1 0.000 0.000 0.290 x2

=====

6.
Compound: Y2FeSi
Source: the Alexandria database
Functional: GGA-PBE
Structure: optimized geometry

Calculated values
**Energy relative to the elements, uncorrected**: 1.56 kcal/mol of atoms
**Total DFT energy (no corrections)**: -6.64 eV per atom
**ρ**: 4604 kg/m3

abc: 4.025 4.025 5.827
angles: 90.00 90.00 90.00
Space group P4mm (No. 99)
Inequivalent atoms, fractional coordinates:
Y1 0.000 0.000 0.000 x1
Y2 0.500 0.500 0.400 x1
Fe1 0.000 0.000 0.509 x1
Si1 0.500 0.500 0.896 x1

=====

7.
Compound: Y2Fe5Si4
Source: the Alexandria database
Functional: GGA-PBE
Structure: optimized geometry

Calculated values
**Energy relative to the elements, uncorrected**: -12.32 kcal/mol of atoms
**Total DFT energy (no corrections)**: -7.53 eV per atom
**ρ**: 5795 kg/m3

abc: 5.410 9.304 12.967
angles: 90.00 90.00 90.00
Space group Fmmm (No. 69)
Inequivalent atoms, fractional coordinates:
Y1 0.000 0.000 0.134 x8
Fe1 0.000 0.000 0.500 x4
Fe2 0.250 0.250 0.000 x8
Fe3 0.250 0.250 0.250 x8
Si1 0.000 0.147 0.365 x16

=====

8.
Compound: YFe10Si2
Source: the Alexandria database
Functional: GGA-PBE
Structure: optimized geometry

Calculated values
**Energy relative to the elements, uncorrected**: -5.63 kcal/mol of atoms
**Total DFT energy (no corrections)**: -8.09 eV per atom
**ρ**: 7111 kg/m3

abc: 4.745 8.296 8.347
angles: 90.00 90.00 90.00
Space group Immm (No. 71)
Inequivalent atoms, fractional coordinates:
Y1 0.000 0.000 0.000 x2
Fe1 0.000 0.000 0.361 x4
Fe2 0.000 0.289 0.500 x4
Fe3 0.000 0.355 0.000 x4
Fe4 0.250 0.250 0.250 x8
Si1 0.000 0.500 0.265 x4

=====

9.
Compound: YFe4Si2
Source: the Alexandria database
Functional: GGA-PBE
Structure: optimized geometry

Calculated values
**Energy relative to the elements, uncorrected**: -10.43 kcal/mol of atoms
**Total DFT energy (no corrections)**: -7.76 eV per atom
**ρ**: 6521 kg/m3

abc: 7.088 7.088 3.734
angles: 90.00 90.00 90.00
Space group P4_2/mnm (No. 136)
Inequivalent atoms, fractional coordinates:
Y1 0.000 0.000 0.000 x2
Fe1 0.085 0.353 0.500 x8
Si1 0.220 0.780 0.500 x4

=====

10.
Compound: ZnFe2Si2
Source: the Alexandria database
Functional: GGA-PBE
Structure: optimized geometry

Calculated values
**Energy relative to the elements, uncorrected**: -5.62 kcal/mol of atoms
**Total DFT energy (no corrections)**: -6.05 eV per atom
**ρ**: 6579 kg/m3

abc: 6.670 6.670 2.647
angles: 90.00 90.00 90.00
Space group P4/mbm (No. 127)
Inequivalent atoms, fractional coordinates:
Zn1 0.000 0.000 0.000 x2
Fe1 0.155 0.345 0.500 x4
Si1 0.139 0.639 0.000 x4

=====

11.
Compound: Zn2FeSi
Source: the Alexandria database
Functional: GGA-PBE
Structure: optimized geometry

Calculated values
**Energy relative to the elements, uncorrected**: -2.68 kcal/mol of atoms
**Total DFT energy (no corrections)**: -4.22 eV per atom
**ρ**: 6150 kg/m3

abc: 2.556 3.748 12.106
angles: 90.00 90.00 90.00
Space group Immm (No. 71)
Inequivalent atoms, fractional coordinates:
Zn1 0.000 0.000 0.184 x4
Fe1 0.000 0.500 0.500 x2
Si1 0.000 0.500 0.000 x2

=====

12.
Compound: ZnFeSi2
Source: the Alexandria database
Functional: GGA-PBE
Structure: optimized geometry

Calculated values
**Energy relative to the elements, uncorrected**: 1.97 kcal/mol of atoms
**Total DFT energy (no corrections)**: -5.06 eV per atom
**ρ**: 5832 kg/m3

abc: 8.671 2.787 4.204
angles: 90.00 95.85 90.00
Space group Cm (No. 8)
Inequivalent atoms, fractional coordinates:
Zn1 0.000 0.000 0.000 x2
Fe1 0.249 0.500 0.289 x2
Si1 0.240 0.000 0.762 x2
Si2 0.475 0.000 0.475 x2